# 1
First-principles (GGA-PBE) data for crystalline NdDyTmIn at its relaxed geometry, as listed in the Alexandria database.

Cell lengths 5.471, 5.471, 5.472 Å; angles 120.00, 120.00, 90.00 degrees
Each line ends with the local moment (μB).
Fractional positions:
In (0.250, 0.750, 0.500)  0.00
Nd (0.750, 0.250, 0.500)  0.36
Tm (0.000, 0.000, 0.000)  0.33
Dy (0.500, 0.500, 0.000)  0.31

The formation enthalpy at 0 K comes out at -84 meV per atom. As for the density of states at the Fermi level: 5.74 states/eV per cell. The value obtained for the total energy is -16.9 eV per cell.

***

# 2
First-principles (GGA-PBE) data for crystalline Nd2Dy3Y6In at its relaxed geometry, as listed in the Alexandria database.

Cell lengths 6.131, 6.131, 11.758 Å; angles 95.00, 95.00, 120.03 degrees
Fractional positions:
Y (0.083, 0.409, 0.249)
Dy (0.500, 0.500, 0.500)
In (0.000, 0.000, 0.000)
Nd (0.666, 0.334, 0.000)
Dy (0.166, 0.834, 0.500)
Y (0.244, 0.244, 0.750)
Dy (0.834, 0.166, 0.500)
Y (0.591, 0.917, 0.751)
Y (0.917, 0.591, 0.751)
Y (0.409, 0.083, 0.249)
Nd (0.334, 0.666, 0.000)
Y (0.756, 0.756, 0.250)

The formation enthalpy at 0 K comes out at -55 meV per atom. As for the density of states at the Fermi level: 16.47 states/eV per cell. The value obtained for the total energy is -65.5 eV per cell.